1.
Cs2Rb2ZnSb2 | PBE | relaxed

Lattice parameters (Å, degrees): 10.902 10.902 10.902 34.03 34.03 34.03
Atoms (fractional coordinates):
Cs 0.208 0.208 0.208
Cs 0.792 0.792 0.792
Rb 0.379 0.379 0.379
Rb 0.621 0.621 0.621
Sb 0.082 0.082 0.082
Sb 0.918 0.918 0.918
Zn 0.000 0.000 0.000

crystal system	trigonal
ΔE to the lowest computed polymorph	0	meV per atom

2.
Cs2Rb2ZnSb2 | PBE | relaxed

Lattice parameters (Å, degrees): 10.530 10.530 10.530 35.72 35.72 35.72
Atoms (fractional coordinates):
Cs 0.378 0.378 0.378
Cs 0.622 0.622 0.622
Rb 0.209 0.209 0.209
Rb 0.791 0.791 0.791
Sb 0.085 0.085 0.085
Sb 0.915 0.915 0.915
Zn 0.000 0.000 0.000

crystal system	trigonal
ΔE to the lowest computed polymorph	3	meV per atom

3.
CsRbUSe3 | PBE | relaxed

Lattice parameters (Å, degrees): 9.875 9.875 12.265 90.00 90.00 154.62
Atoms (fractional coordinates):
Cs 0.154 0.846 0.250
Cs 0.846 0.154 0.750
Rb 0.869 0.131 0.250
Rb 0.131 0.869 0.750
Se 0.904 0.096 0.001
Se 0.505 0.495 0.250
Se 0.904 0.096 0.499
Se 0.096 0.904 0.501
Se 0.495 0.505 0.750
Se 0.096 0.904 0.999
U 0.500 0.500 0.000
U 0.500 0.500 0.500

crystal system	orthorhombic
raw total energy	-4.994	eV per atom

4.
CsRbZrSe3 | PBE | relaxed

Lattice parameters (Å, degrees): 9.608 9.608 11.997 90.00 90.00 155.79
Atoms (fractional coordinates):
Cs 0.657 0.343 0.250
Cs 0.343 0.657 0.750
Rb 0.367 0.633 0.250
Rb 0.633 0.367 0.750
Se 0.404 0.596 0.001
Se 0.006 0.994 0.250
Se 0.404 0.596 0.499
Se 0.596 0.404 0.501
Se 0.994 0.006 0.750
Se 0.596 0.404 0.999
Zr 0.000 0.000 0.000
Zr 0.000 0.000 0.500

crystal system	orthorhombic
ΔE to the lowest computed polymorph	222	meV per atom

5.
CsRbZrSe3 | PBE | relaxed

Lattice parameters (Å, degrees): 17.047 4.121 12.546 90.00 90.00 90.00
Atoms (fractional coordinates):
Cs 0.300 0.250 0.212
Cs 0.800 0.250 0.288
Cs 0.200 0.750 0.712
Cs 0.700 0.750 0.788
Rb 0.105 0.750 0.065
Rb 0.605 0.750 0.435
Rb 0.395 0.250 0.565
Rb 0.895 0.250 0.935
Se 0.438 0.750 0.082
Se 0.649 0.750 0.163
Se 0.981 0.250 0.173
Se 0.481 0.250 0.327
Se 0.149 0.750 0.337
Se 0.938 0.750 0.418
Se 0.062 0.250 0.582
Se 0.851 0.250 0.663
Se 0.519 0.750 0.673
Se 0.019 0.750 0.827
Se 0.351 0.250 0.837
Se 0.562 0.250 0.918
Zr 0.542 0.250 0.139
Zr 0.042 0.250 0.361
Zr 0.958 0.750 0.639
Zr 0.458 0.750 0.861

crystal system	orthorhombic
ΔE to the lowest computed polymorph	77	meV per atom

6.
CsRbZrSe3 | PBE | relaxed

Lattice parameters (Å, degrees): 8.637 4.100 11.208 90.00 96.76 90.00
Atoms (fractional coordinates):
Cs 0.422 0.250 0.353
Cs 0.578 0.750 0.647
Rb 0.244 0.750 0.020
Rb 0.756 0.250 0.980
Se 0.649 0.750 0.195
Se 0.044 0.250 0.215
Se 0.825 0.250 0.481
Se 0.175 0.750 0.519
Se 0.956 0.750 0.785
Se 0.351 0.250 0.805
Zr 0.907 0.750 0.331
Zr 0.093 0.250 0.669

crystal system	monoclinic
ΔE to the lowest computed polymorph	0	meV per atom

7.
CsRb3Zn2Sn2 | PBE | relaxed

Lattice parameters (Å, degrees): 7.105 6.871 7.204 90.00 108.77 90.00
Atoms (fractional coordinates):
Cs 0.011 0.000 0.674
Rb 0.675 0.000 0.009
Rb 0.989 0.500 0.325
Rb 0.327 0.500 0.994
Sn 0.267 0.000 0.254
Sn 0.736 0.500 0.741
Zn 0.497 0.250 0.502
Zn 0.497 0.750 0.502

crystal system	monoclinic
raw total energy	-1.955	eV per atom

8.
Cs3RbZn2Sn2 | PBE | relaxed

Lattice parameters (Å, degrees): 7.268 7.096 7.305 90.00 110.19 90.00
Atoms (fractional coordinates):
Cs 0.673 0.500 0.005
Cs 0.995 0.000 0.327
Cs 0.005 0.500 0.673
Rb 0.328 0.000 0.996
Sn 0.267 0.500 0.267
Sn 0.730 0.000 0.735
Zn 0.501 0.250 0.499
Zn 0.501 0.750 0.499

crystal system	monoclinic
raw total energy	-1.934	eV per atom